Record 1
## SmAgAu (GGA-PBE)

Data for crystalline SmAgAu at its relaxed geometry.

Values from the calculation:
space group = P4/mmm, No. 123
mass density = 11.22 g/cm³
ΔE to the lowest computed polymorph = 0.010 eV/atom
E_form = -0.568 eV/atom

Cell lengths 3.8085, 3.8085, 9.2866 Å; angles 90.00, 90.00, 90.00 degrees
Closest atoms and distances in Å follow each position.
Sites, in units of the cell vectors:
Ag 0.0000 0.0000 0.3308  5 Sm 3.07-3.12, 4 Au 3.09, 1 Ag 3.14
Ag 0.0000 0.0000 0.6692  5 Sm 3.07-3.12, 4 Au 3.09, 1 Ag 3.14
Au 0.5000 0.5000 0.1681  5 Sm 3.08-3.11, 4 Ag 3.09, 1 Au 3.12
Au 0.5000 0.5000 0.8319  5 Sm 3.08-3.11, 4 Ag 3.09, 1 Au 3.12
Sm 0.0000 0.0000 0.0000  2 Ag 3.07, 8 Au 3.11
Sm 0.5000 0.5000 0.5000  2 Au 3.08, 8 Ag 3.12


Record 2
## BeCo2Sn (GGA-PBE)

Data for crystalline BeCo2Sn at its relaxed geometry.

Values from the calculation:
space group = F-43m, No. 216
mass density = 8.18 g/cm³
VASP energy = -5.26 eV per atom

Cell lengths 4.1313, 4.1313, 4.1313 Å; angles 60.00, 60.00, 60.00 degrees
Closest atoms and distances in Å follow each position.
Sites, in units of the cell vectors:
Be 0.0000 0.0000 0.0000  4 Co 2.53, 4 Sn 2.53
Co 0.5000 0.5000 0.5000  4 Sn 2.53, 4 Co 2.53
Co 0.7500 0.7500 0.7500  4 Be 2.53, 4 Co 2.53
Sn 0.2500 0.2500 0.2500  4 Co 2.53, 4 Be 2.53


Record 3
## Y4AlCuC2 (GGA-PBE)

Data for crystalline Y4AlCuC2 at its relaxed geometry.

Values from the calculation:
space group = P-6m2, No. 187
mass density = 4.67 g/cm³
VASP energy = -6.68 eV per atom

Cell lengths 3.6193, 3.6193, 14.7440 Å; angles 90.00, 90.00, 120.00 degrees
Closest atoms and distances in Å follow each position.
Sites, in units of the cell vectors:
Al 0.6667 0.3333 0.5000  6 Y 3.27, 6 Al 3.62
C 0.3333 0.6667 0.2337  6 Y 2.46-2.52
C 0.3333 0.6667 0.7663  6 Y 2.46-2.52
Cu 0.0000 0.0000 0.0000  6 Y 2.99
Y 0.6667 0.3333 0.1453  3 C 2.46
Y 0.0000 0.0000 0.3293  3 C 2.52
Y 0.0000 0.0000 0.6707  3 C 2.52
Y 0.6667 0.3333 0.8547  3 C 2.46


Record 4
## CsLiPdW (GGA-PBE)

Data for crystalline CsLiPdW at its relaxed geometry.

Values from the calculation:
space group = F-43m, No. 216
mass density = 7.57 g/cm³
ΔE to the lowest computed polymorph = 0.107 eV/atom

Cell lengths 5.1103, 5.1103, 5.1103 Å; angles 60.00, 60.00, 60.00 degrees
Closest atoms and distances in Å follow each position.
Sites, in units of the cell vectors:
Cs 0.5000 0.5000 0.5000  4 Li 3.13, 4 Pd 3.13
Li 0.7500 0.7500 0.7500  4 Cs 3.13, 4 W 3.13
Pd 0.2500 0.2500 0.2500  4 W 3.13, 4 Cs 3.13
W 0.0000 0.0000 0.0000  4 Li 3.13, 4 Pd 3.13